# 1
Density functional theory data (PBE-GGA) for crystalline Ca2CeGe2 at its relaxed geometry. Values from VASP.

Summary:
**DFT formation energy**: -0.5040 eV per atom
**SG**: Cmcm (63)

The structure in Quantum ESPRESSO input format:
```
&SYSTEM
  ibrav = 0, nat = 10, ntyp = 3
/
ATOMIC_SPECIES
Ca 40.08 Ca.upf
Ce 140.12 Ce.upf
Ge 72.64 Ge.upf
ATOMIC_POSITIONS angstrom
Ca 2.263 12.316 3.203
Ca 2.263 6.912 1.068
Ca 2.263 -6.912 3.203
Ca 2.263 -12.316 1.068
Ce 2.263 3.881 3.203
Ce 2.263 -3.881 1.068
Ge 2.263 9.155 3.203
Ge 2.263 0.839 3.203
Ge 2.263 -0.839 1.068
Ge 2.263 -9.155 1.068
CELL_PARAMETERS angstrom
2.263 -13.805 0.000
2.263 13.805 0.000
0.000 0.000 4.271
```

---

# 2
Density functional theory data (PBE-GGA) for crystalline TmNbTc2 at its relaxed geometry. Values from VASP.

Summary:
**DFT formation energy**: -0.0808 eV per atom
**SG**: P4/mmm (123)

The structure in Quantum ESPRESSO input format:
```
&SYSTEM
  ibrav = 0, nat = 4, ntyp = 3
/
ATOMIC_SPECIES
Tm 168.93 Tm.upf
Nb 92.91 Nb.upf
Tc 98.00 Tc.upf
ATOMIC_POSITIONS angstrom
Tm 0.000 0.000 0.000
Nb 2.324 2.324 0.000
Tc 0.000 2.324 1.626
Tc 2.324 0.000 1.626
CELL_PARAMETERS angstrom
4.648 0.000 0.000
0.000 4.648 0.000
0.000 0.000 3.252
```

---

# 3
Density functional theory data (PBE-GGA) for crystalline Li5Nd2Mg5 at its relaxed geometry. Values from VASP.

Summary:
**DFT formation energy**: 0.0019 eV per atom
**SG**: Pmmm (47)

The structure in Quantum ESPRESSO input format:
```
&SYSTEM
  ibrav = 0, nat = 12, ntyp = 3
/
ATOMIC_SPECIES
Li 6.94 Li.upf
Nd 144.24 Nd.upf
Mg 24.30 Mg.upf
ATOMIC_POSITIONS angstrom
Li 0.000 0.000 0.000
Li 0.000 1.412 2.531
Li 0.000 1.412 7.721
Li 0.000 4.246 2.531
Li 0.000 4.246 7.721
Nd 2.502 0.000 5.126
Nd 2.502 2.829 0.000
Mg 0.000 2.829 5.126
Mg 2.502 0.000 1.713
Mg 2.502 0.000 8.539
Mg 2.502 2.829 3.340
Mg 2.502 2.829 6.912
CELL_PARAMETERS angstrom
5.004 0.000 0.000
0.000 5.658 0.000
0.000 0.000 10.252
```

---

# 4
Density functional theory data (PBE-GGA) for crystalline AgGeSbI2 at its relaxed geometry. Values from VASP.

Summary:
**Distance to the lowest polymorph of the same formula**: 0.0 meV per atom
**Raw formation energy**: 493 meV/atom
**SG**: P4/mmm (123)

The structure in Quantum ESPRESSO input format:
```
&SYSTEM
  ibrav = 0, nat = 5, ntyp = 4
/
ATOMIC_SPECIES
Ag 107.87 Ag.upf
Ge 72.64 Ge.upf
Sb 121.76 Sb.upf
I 126.90 I.upf
ATOMIC_POSITIONS angstrom
Ag 0.000 0.000 0.000
Ge 2.860 2.860 2.810
Sb 2.860 2.860 0.000
I 0.000 2.860 2.810
I 2.860 0.000 2.810
CELL_PARAMETERS angstrom
5.719 0.000 0.000
0.000 5.719 0.000
0.000 0.000 5.621
```

---

| no. | raw total energy (eV/atom) |
| --- | --- |
| 1 | -4.338 |
| 2 | -8.899 |
| 3 | -2.255 |
| 4 | -2.445 |